CaLaOs: optimized geometry, PBE.

a = 4.8513 Å, b = 4.8513 Å, c = 3.6378 Å
α = 90.00°, β = 90.00°, γ = 120.00°
Space group P3m1 (No. 156)
Inequivalent atoms, fractional coordinates:
Ca (0.0000, 0.0000, 0.0000) (multiplicity 1)
La (0.6667, 0.3333, 0.4649) (multiplicity 1)
Os (0.3333, 0.6667, 0.6484) (multiplicity 1)

Calculated values
total magnetization: 0.00 μB per cell
formation energy from the elements: 0.97 eV per formula unit
polymorph energy (0 for the lowest one): 70 kJ/mol of formula units

PmYMgPa: optimized geometry, PBE.

a = 7.684 Å, b = 7.684 Å, c = 7.684 Å
α = 90.00°, β = 90.00°, γ = 90.00°
Space group F-43m (No. 216)
Inequivalent atoms, fractional coordinates:
Pm (0.000, 0.000, 0.000) (multiplicity 4)
Y (0.000, 0.000, 0.500) (multiplicity 4)
Mg (0.250, 0.250, 0.250) (multiplicity 4)
Pa (0.250, 0.250, 0.750) (multiplicity 4)

Calculated values
total magnetization: 0.03 μB per cell
formation energy from the elements: 1.38 eV per formula unit

KZn2Hg: optimized geometry, PBE.

a = 3.497 Å, b = 4.969 Å, c = 6.370 Å
α = 90.00°, β = 98.67°, γ = 90.00°
Space group P2/m (No. 10)
Inequivalent atoms, fractional coordinates:
K (0.000, 0.000, 0.000) (multiplicity 1)
Zn (0.335, 0.500, 0.674) (multiplicity 2)
Hg (0.500, 0.000, 0.500) (multiplicity 1)

Calculated values
total magnetization: 0.00 μB per cell
formation energy from the elements: 0.36 eV per formula unit

Pu3ZnPt2: optimized geometry, PBE.

a = 4.794 Å, b = 3.826 Å, c = 7.529 Å
α = 90.00°, β = 108.41°, γ = 90.00°
Space group P2/m (No. 10)
Inequivalent atoms, fractional coordinates:
Pu (0.000, 0.000, 0.000) (multiplicity 1)
Pu (0.321, 0.000, 0.641) (multiplicity 2)
Zn (0.500, 0.500, 0.000) (multiplicity 1)
Pt (0.151, 0.500, 0.302) (multiplicity 2)

Calculated values
total magnetization: 16.67 μB per cell
formation energy from the elements: -3.09 eV per formula unit

SbTe2HRh: optimized geometry, PBE.

a = 5.370 Å, b = 5.370 Å, c = 5.023 Å
α = 90.00°, β = 90.00°, γ = 90.00°
Space group P4/mmm (No. 123)
Inequivalent atoms, fractional coordinates:
Sb (0.000, 0.000, 0.000) (multiplicity 1)
Te (0.000, 0.500, 0.500) (multiplicity 2)
H (0.500, 0.500, 0.000) (multiplicity 1)
Rh (0.000, 0.000, 0.500) (multiplicity 1)

Calculated values
total magnetization: 1.26 μB per cell
polymorph energy (0 for the lowest one): 72 kJ/mol of formula units

MnZn2As2: optimized geometry, PBE.

a = 6.772 Å, b = 6.772 Å, c = 3.809 Å
α = 90.00°, β = 90.00°, γ = 90.00°
Space group P4/mbm (No. 127)
Inequivalent atoms, fractional coordinates:
Mn (0.000, 0.000, 0.000) (multiplicity 2)
Zn (0.140, 0.360, 0.500) (multiplicity 4)
As (0.172, 0.672, 0.000) (multiplicity 4)

Calculated values
total magnetization: 6.29 μB per cell
formation energy from the elements: 0.62 eV per formula unit